A plane-wave DFT calculation with PBE was carried out for a relaxed La2ZnOs crystal.

abc: 4.4175 4.4175 20.7558
angles: 90.00 90.00 120.00
Space group R3m (No. 160, hexagonal axes)
Asymmetric unit:
La (0.0000, 0.0000, 0.0000) (multiplicity 3)
La (0.0000, 0.0000, 0.1710) (multiplicity 3)
Zn (0.0000, 0.0000, 0.4182) (multiplicity 3)
Os (0.0000, 0.0000, 0.7531) (multiplicity 3)

- crystal system = trigonal
- magnetization (μB/f.u.) = 0.000
- electronic total energy (eV/atom) = -5.699
- formation enthalpy at 0 K (meV per atom) = -109
- DOS(E_F) (states/eV per cell) = 13.39